An optimized crystal structure of CoRhS2O8. Source: Alexandria via LeMat-Bulk, functional GGA+U.

Geometry as extended XYZ:
```
12
Lattice="-4.537 -0.043 2.466 3.314 -3.910 0.623 2.624 3.001 4.880" Properties=species:S:1:pos:R:3 pbc="T T T"
Co 1.312 1.501 2.440
Rh 0.000 0.000 0.000
S -1.109 -0.405 3.359
S 2.511 -0.547 4.610
O -2.566 -0.004 3.295
O -0.966 -1.892 3.596
O -0.376 0.016 2.105
O 1.778 -0.968 5.864
O 1.909 -1.235 3.491
O -0.507 0.283 4.478
O 3.968 -0.948 4.674
O 2.368 0.940 4.373
```

Values from the calculation:
VASP energy: -5.905 eV per atom
spin magnetization: 3.278 μB/f.u.